Compound: Ba2MnCdO4
Source: Alexandria via LeMat-Bulk
Functional: GGA+U
Structure: optimized geometry

The structure in POSCAR format:
```
Ba2MnCdO4
1.0
6.1258 0.0000 0.0000
0.0000 6.1258 0.0000
0.0000 0.0000 7.9848
Ba Mn Cd O
4 2 2 8
Direct
0.0000 0.0000 0.0000
0.0000 0.5000 0.2500
0.5000 0.0000 0.7500
0.5000 0.5000 0.5000
0.0000 0.0000 0.5000
0.5000 0.5000 0.0000
0.0000 0.5000 0.7500
0.5000 0.0000 0.2500
0.1916 0.2399 0.6176
0.2399 0.8084 0.3824
0.2601 0.6916 0.8824
0.3084 0.2601 0.1176
0.6916 0.7399 0.1176
0.7399 0.3084 0.8824
0.7601 0.1916 0.3824
0.8084 0.7601 0.6176
```

Computed properties:
- uncorrected energy (eV/atom) = -5.866
- V (Å³ per cell) = 299.6
- SG = I-4